#a
{"formula": "Tb5CeTm4", "functional": "PBE-GGA", "state": "relaxed", "lattice": [[5.5881, 0.0000, 0.0000], [2.7940, 7.5054, 0.0000], [2.7940, 0.0000, 7.5054]], "species": ["Tb", "Tb", "Tm", "Tb", "Tm", "Tb", "Ce", "Tm", "Tm", "Tb"], "frac_coords": [[0.1641, 0.6299, 0.0001], [0.7941, 0.3701, 0.9999], [0.1405, 0.3316, 0.3318], [0.7940, 0.0001, 0.3701], [0.8038, 0.6684, 0.6682], [0.5906, 0.0000, 0.0000], [0.1146, 0.0000, 0.0000], [0.4721, 0.3318, 0.6684], [0.4722, 0.6682, 0.3316], [0.1642, 0.9999, 0.6299]], "spacegroup": "I4mm, No. 107", "m_tot_mub_per_fu": 0.00}

=====

#b
{"formula": "Tb5CeTm4", "functional": "PBE-GGA", "state": "relaxed", "lattice": [[-2.2578, 1.8887, 1.8051], [2.1699, -5.8300, 8.8141], [7.7792, 3.0475, 3.2386]], "species": ["Tm", "Tb", "Tm", "Tb", "Tm", "Ce", "Tb", "Tm", "Tb", "Tb"], "frac_coords": [[0.3034, 0.0820, 0.6068], [0.2066, 0.3999, 0.4132], [0.6966, 0.9180, 0.3932], [0.1050, 0.7154, 0.2099], [0.9059, 0.8099, 0.8117], [0.5000, 0.0000, 0.0000], [0.7934, 0.6001, 0.5868], [0.0941, 0.1901, 0.1883], [0.5000, 0.5000, 0.0000], [0.8950, 0.2846, 0.7901]], "spacegroup": "C2/m, No. 12", "m_tot_mub_per_fu": 0.51}

=====

Stability ranking, top and bottom: #b is the most stable and #a is the least stable.

=====

#a
{"formula": "Tb2CeTm6", "functional": "PBE-GGA", "state": "relaxed", "lattice": [[-4.7789, 2.7197, 3.4493], [-6.1666, -7.0295, -0.5467], [3.0434, -2.3665, 8.5368]], "species": ["Tm", "Tm", "Tm", "Tb", "Tm", "Tm", "Tb", "Tm", "Tm", "Tm", "Ce", "Ce", "Tm", "Tb", "Tm", "Tb", "Tm", "Tm"], "frac_coords": [[0.9988, 0.2792, 0.6583], [0.8175, 0.9495, 0.7821], [0.2643, 0.9438, 0.5412], [0.1315, 0.6131, 0.6664], [0.3175, 0.7821, 0.9495], [0.7643, 0.5412, 0.9438], [0.3685, 0.3336, 0.3869], [0.2357, 0.4588, 0.0562], [0.0012, 0.7208, 0.3417], [0.4988, 0.6583, 0.2792], [0.2500, 0.1205, 0.8795], [0.7500, 0.8795, 0.1205], [0.7357, 0.0562, 0.4588], [0.8685, 0.3869, 0.3336], [0.6825, 0.2179, 0.0505], [0.6315, 0.6664, 0.6131], [0.1825, 0.0505, 0.2179], [0.5012, 0.3417, 0.7208]], "spacegroup": "C2/c, No. 15", "m_tot_mub_per_fu": 1.02}

=====

#b
{"formula": "Tb2CeTm6", "functional": "PBE-GGA", "state": "relaxed", "lattice": [[4.9339, -0.6156, -3.6413], [-1.4252, 4.6808, -2.7243], [2.7841, 4.9231, 18.5256]], "species": ["Tm", "Tm", "Tm", "Tm", "Tb", "Ce", "Tb", "Tm", "Tm", "Tm", "Tb", "Tm", "Tm", "Tm", "Tm", "Tb", "Tm", "Ce"], "frac_coords": [[0.9987, 0.3604, 0.6106], [0.3327, 0.8606, 0.6108], [0.6673, 0.1394, 0.3892], [0.3275, 0.2477, 0.4977], [0.6665, 0.4171, 0.1667], [0.9973, 0.0295, 0.2791], [0.3335, 0.5829, 0.8333], [0.9996, 0.3047, 0.0545], [0.0004, 0.6953, 0.9455], [0.0013, 0.6396, 0.3894], [0.6723, 0.4705, 0.7210], [0.3347, 0.1936, 0.9437], [0.6725, 0.7523, 0.5023], [0.3308, 0.9167, 0.1663], [0.6653, 0.8064, 0.0563], [0.3277, 0.5295, 0.2790], [0.6692, 0.0833, 0.8337], [0.0027, 0.9705, 0.7209]], "spacegroup": "P2_1/m, No. 11", "m_tot_mub_per_fu": 1.10}

=====

Stability ranking, top and bottom: #b is the most stable and #a is the least stable.

=====

#a
{"formula": "Tb7CeTm12", "functional": "PBE-GGA", "state": "relaxed", "lattice": [[-0.4186, -1.9618, 8.3479], [-4.8701, -6.8146, -1.8852], [7.0805, -4.7877, -0.8096]], "species": ["Tb", "Tb", "Tm", "Tb", "Tm", "Tm", "Tb", "Tm", "Tm", "Tm", "Tm", "Ce", "Tm", "Tb", "Tb", "Tm", "Tm", "Tb", "Tm", "Tm"], "frac_coords": [[0.0641, 0.9681, 0.6725], [0.5000, 0.5000, 0.5000], [0.5406, 0.8740, 0.6499], [0.3275, 0.9359, 0.0319], [0.7683, 0.3742, 0.2273], [0.8740, 0.6499, 0.5406], [0.0319, 0.3275, 0.9359], [0.6258, 0.7727, 0.2317], [0.2317, 0.6258, 0.7727], [0.1260, 0.3501, 0.4594], [0.4594, 0.1260, 0.3501], [0.0000, 0.0000, 0.0000], [0.3742, 0.2273, 0.7683], [0.6725, 0.0641, 0.9681], [0.9681, 0.6725, 0.0641], [0.2273, 0.7683, 0.3742], [0.7727, 0.2317, 0.6258], [0.9359, 0.0319, 0.3275], [0.6499, 0.5406, 0.8740], [0.3501, 0.4594, 0.1260]], "spacegroup": "R-3, No. 148", "m_tot_mub_per_fu": 0.01}

=====

#b
{"formula": "Tb7CeTm12", "functional": "PBE-GGA", "state": "relaxed", "lattice": [[9.1159, 0.0000, -3.2230], [-4.5580, 7.8946, -3.2230], [0.0000, 0.0000, 9.6689]], "species": ["Tb", "Tm", "Tm", "Tm", "Tb", "Tm", "Tm", "Tm", "Tm", "Tm", "Tb", "Tm", "Tm", "Tb", "Tm", "Tb", "Tm", "Ce", "Tb", "Tb"], "frac_coords": [[0.5000, 0.0000, 0.5000], [0.5115, 0.2559, 0.2556], [0.7444, 0.4885, 0.7441], [0.2556, 0.9998, 0.7441], [0.0000, 0.0000, 0.5000], [0.4885, 0.7441, 0.7444], [0.0002, 0.2559, 0.7444], [0.2559, 0.7444, 0.0002], [0.7444, 0.0002, 0.2559], [0.2559, 0.2556, 0.5115], [0.5000, 0.5000, 0.5000], [0.2556, 0.5115, 0.2559], [0.7441, 0.2556, 0.9998], [0.5000, 0.0000, 0.0000], [0.9998, 0.7441, 0.2556], [0.5000, 0.5000, 0.0000], [0.7441, 0.7444, 0.4885], [0.0000, 0.0000, 0.0000], [0.0000, 0.5000, 0.0000], [0.0000, 0.5000, 0.5000]], "spacegroup": "Im-3m, No. 229", "m_tot_mub_per_fu": 1.54}

=====

Stability ranking, top and bottom: #a is the most stable and #b is the least stable.

=====

#a
{"formula": "TbCeTm4", "functional": "PBE-GGA", "state": "relaxed", "lattice": [[6.4384, -0.4493, 0.0000], [-2.8328, 5.7992, 0.0000], [0.0000, 0.0000, 10.4344]], "species": ["Ce", "Tm", "Tm", "Tm", "Tm", "Tm", "Tm", "Ce", "Tb", "Tm", "Tb", "Tm"], "frac_coords": [[0.0000, 0.0000, 0.5000], [0.6635, 0.3365, 0.5678], [0.1677, 0.3423, 0.7500], [0.6577, 0.8323, 0.7500], [0.3423, 0.1677, 0.2500], [0.8323, 0.6577, 0.2500], [0.6635, 0.3365, 0.9322], [0.0000, 0.0000, 0.0000], [0.8309, 0.1691, 0.2500], [0.3365, 0.6635, 0.0678], [0.1691, 0.8309, 0.7500], [0.3365, 0.6635, 0.4322]], "spacegroup": "Cmcm, No. 63", "m_tot_mub_per_fu": 1.68}

=====

#b
{"formula": "TbCeTm4", "functional": "PBE-GGA", "state": "relaxed", "lattice": [[3.5263, 0.0000, 0.0000], [0.0000, 5.9932, -1.2061], [0.0000, 1.3407, 16.9384]], "species": ["Tb", "Tm", "Tb", "Tm", "Tm", "Tm", "Ce", "Tm", "Ce", "Tm", "Tm", "Tm"], "frac_coords": [[0.5000, 0.5000, 0.0000], [0.9996, 0.6130, 0.8321], [0.0000, 0.5000, 0.5000], [0.5004, 0.6130, 0.3321], [0.5007, 0.8915, 0.1667], [0.0004, 0.3870, 0.1679], [0.0000, 0.0000, 0.0000], [0.0007, 0.1085, 0.3333], [0.5000, 0.0000, 0.5000], [0.9993, 0.8915, 0.6667], [0.4996, 0.3870, 0.6679], [0.4993, 0.1085, 0.8333]], "spacegroup": "C2/m, No. 12", "m_tot_mub_per_fu": 0.76}

=====

Stability ranking, top and bottom: #b is the most stable and #a is the least stable.

=====

#a
{"formula": "Tb7CeTm2", "functional": "PBE-GGA", "state": "relaxed", "lattice": [[3.4587, 0.0000, 0.0000], [0.0000, 9.8428, -2.6681], [0.0000, -0.6283, 10.1786]], "species": ["Tb", "Tb", "Tb", "Tm", "Tb", "Tb", "Tm", "Tb", "Tb", "Ce"], "frac_coords": [[0.5000, 0.5000, 0.5000], [0.5000, 0.1263, 0.3903], [0.0000, 0.6757, 0.3243], [0.5000, 0.8340, 0.1659], [0.5000, 0.8737, 0.6097], [0.5000, 0.3903, 0.1263], [0.5000, 0.1659, 0.8340], [0.0000, 0.3243, 0.6757], [0.5000, 0.6097, 0.8737], [0.0000, 0.0000, 0.0000]], "spacegroup": "Cmmm, No. 65", "m_tot_mub_per_fu": 0.75}

=====

#b
{"formula": "Tb7CeTm2", "functional": "PBE-GGA", "state": "relaxed", "lattice": [[5.5303, 0.0000, 0.0000], [0.0000, 9.2343, -0.5458], [0.0000, -4.6532, 7.9949]], "species": ["Tb", "Tm", "Tb", "Tb", "Tm", "Tb", "Ce", "Tb", "Tb", "Tb"], "frac_coords": [[0.5000, 0.9365, 0.7089], [0.5000, 0.2963, 0.7037], [0.5000, 0.7089, 0.9365], [0.5000, 0.2911, 0.0635], [0.5000, 0.7037, 0.2963], [0.5000, 0.5000, 0.5000], [0.0000, 0.0000, 0.0000], [0.0000, 0.2112, 0.7888], [0.0000, 0.7888, 0.2112], [0.5000, 0.0635, 0.2911]], "spacegroup": "Cmmm, No. 65", "m_tot_mub_per_fu": 1.56}

=====

Stability ranking, top and bottom: #a is the most stable and #b is the least stable.

=====

#a
{"formula": "TbCeTm3", "functional": "PBE-GGA", "state": "relaxed", "lattice": [[-4.5456, 3.9003, -1.4298], [-3.9303, -6.7734, -5.9821], [-4.0180, -1.1240, 9.7077]], "species": ["Tm", "Tm", "Ce", "Tb", "Tm", "Tm", "Tb", "Tm", "Tm", "Ce", "Ce", "Ce", "Tm", "Tm", "Tm", "Tm", "Tb", "Tm", "Tm", "Tb"], "frac_coords": [[0.4017, 0.1569, 0.5850], [0.3900, 0.2051, 0.9064], [0.2028, 0.9869, 0.0361], [0.5603, 0.4928, 0.1711], [0.0868, 0.3240, 0.2268], [0.0983, 0.6569, 0.0850], [0.4397, 0.5072, 0.8289], [0.9017, 0.3431, 0.9150], [0.6100, 0.7949, 0.0936], [0.7028, 0.5131, 0.4639], [0.2972, 0.4869, 0.5361], [0.7972, 0.0131, 0.9639], [0.8900, 0.2949, 0.5936], [0.1100, 0.7051, 0.4064], [0.9132, 0.6760, 0.7732], [0.5983, 0.8431, 0.4150], [0.9397, 0.9928, 0.6711], [0.4132, 0.8240, 0.7268], [0.5868, 0.1760, 0.2732], [0.0603, 0.0072, 0.3289]], "spacegroup": "P2_1/c, No. 14", "m_tot_mub_per_fu": 0.00}

=====

#b
{"formula": "TbCeTm3", "functional": "PBE-GGA", "state": "relaxed", "lattice": [[-2.6294, 2.7743, 3.8198], [-0.3228, -2.7905, 5.6269], [6.7644, 7.6365, 6.7778]], "species": ["Tm", "Ce", "Tm", "Tm", "Tm", "Tm", "Ce", "Tm", "Tb", "Tb"], "frac_coords": [[0.4244, 0.6747, 0.2374], [0.8676, 0.2649, 0.0000], [0.7448, 0.0000, 0.2541], [0.9009, 0.6747, 0.7626], [0.5756, 0.3253, 0.7626], [0.0991, 0.3253, 0.2374], [0.1324, 0.7351, 0.0000], [0.2552, 0.0000, 0.7459], [0.6550, 0.6900, 0.5000], [0.3450, 0.3100, 0.5000]], "spacegroup": "C2/m, No. 12", "m_tot_mub_per_fu": 1.31}

=====

Stability ranking, top and bottom: #a is the most stable and #b is the least stable.

=====

#a
{"formula": "Tb12CeTm7", "functional": "PBE-GGA", "state": "relaxed", "lattice": [[-4.1327, -6.8406, 3.4189], [5.6632, 1.3942, 6.4456], [-5.7983, 6.1346, 2.0757]], "species": ["Tb", "Ce", "Tb", "Tb", "Tm", "Tb", "Tb", "Tb", "Tm", "Tm", "Tm", "Tb", "Tm", "Tb", "Tb", "Tm", "Tb", "Tb", "Tm", "Tb"], "frac_coords": [[0.5000, 0.2379, 0.7621], [0.0000, 0.0000, 0.0000], [0.9102, 0.6414, 0.6414], [0.7621, 0.2379, 0.5000], [0.1029, 0.6618, 0.1029], [0.2379, 0.7621, 0.5000], [0.2379, 0.5000, 0.7621], [0.7621, 0.5000, 0.2379], [0.8971, 0.8971, 0.3382], [0.5000, 0.5000, 0.5000], [0.6618, 0.1029, 0.1029], [0.0898, 0.3586, 0.3586], [0.8971, 0.3382, 0.8971], [0.3586, 0.0898, 0.3586], [0.6414, 0.9102, 0.6414], [0.3382, 0.8971, 0.8971], [0.6414, 0.6414, 0.9102], [0.5000, 0.7621, 0.2379], [0.1029, 0.1029, 0.6618], [0.3586, 0.3586, 0.0898]], "spacegroup": "R-3m, No. 166", "m_tot_mub_per_fu": 5.24}

=====

#b
{"formula": "Tb12CeTm7", "functional": "PBE-GGA", "state": "relaxed", "lattice": [[9.2602, 0.0000, -3.2740], [-4.6301, 8.0196, -3.2740], [0.0000, 0.0000, 9.8220]], "species": ["Tm", "Tb", "Tb", "Tb", "Tb", "Tm", "Tb", "Tb", "Ce", "Tb", "Tb", "Tm", "Tm", "Tm", "Tb", "Tb", "Tb", "Tm", "Tm", "Tb"], "frac_coords": [[0.5000, 0.0000, 0.5000], [0.7384, 0.2606, 0.9990], [0.4779, 0.7384, 0.7394], [0.7394, 0.4779, 0.7384], [0.2616, 0.2606, 0.5221], [0.0000, 0.5000, 0.0000], [0.2606, 0.9990, 0.7384], [0.0010, 0.2616, 0.7394], [0.0000, 0.0000, 0.0000], [0.2606, 0.5221, 0.2616], [0.7384, 0.7394, 0.4779], [0.0000, 0.0000, 0.5000], [0.5000, 0.0000, 0.0000], [0.0000, 0.5000, 0.5000], [0.9990, 0.7384, 0.2606], [0.7394, 0.0010, 0.2616], [0.5221, 0.2616, 0.2606], [0.5000, 0.5000, 0.0000], [0.5000, 0.5000, 0.5000], [0.2616, 0.7394, 0.0010]], "spacegroup": "Im-3, No. 204", "m_tot_mub_per_fu": 1.39}

=====

Stability ranking, top and bottom: #a is the most stable and #b is the least stable.

=====

#a
{"formula": "Tb3CeTm", "functional": "PBE-GGA", "state": "relaxed", "lattice": [[6.6292, 0.0000, -0.6628], [3.3146, 4.5636, -0.3314], [1.0892, 0.0000, 10.8398]], "species": ["Tb", "Tb", "Tb", "Tm", "Tb", "Ce", "Tm", "Ce", "Tb", "Tb"], "frac_coords": [[0.7489, 0.0004, 0.5000], [0.7493, 0.9996, 0.0000], [0.7663, 0.4673, 0.2500], [0.8894, 0.2213, 0.7500], [0.2507, 0.0004, 0.0000], [0.5782, 0.8435, 0.7500], [0.1106, 0.7787, 0.2500], [0.4218, 0.1565, 0.2500], [0.2337, 0.5327, 0.7500], [0.2511, 0.9996, 0.5000]], "spacegroup": "Cmcm, No. 63", "m_tot_mub_per_fu": 1.06}

=====

#b
{"formula": "Tb3CeTm", "functional": "PBE-GGA", "state": "relaxed", "lattice": [[5.2754, 0.0000, 0.8179], [2.6377, 5.4782, 0.4089], [-1.6262, 0.0000, 10.5648]], "species": ["Tm", "Tm", "Ce", "Tb", "Ce", "Tb", "Tb", "Tb", "Tb", "Tb"], "frac_coords": [[0.3430, 0.3141, 0.5000], [0.6570, 0.6859, 0.5000], [0.8768, 0.2464, 0.0000], [0.9998, 0.0000, 0.3301], [0.1232, 0.7536, 0.0000], [0.6538, 0.6928, 0.8089], [0.6533, 0.6928, 0.1911], [0.3467, 0.3072, 0.8089], [0.3462, 0.3072, 0.1911], [0.0002, 0.0000, 0.6699]], "spacegroup": "C2/m, No. 12", "m_tot_mub_per_fu": 0.00}

=====

Stability ranking, top and bottom: #b is the most stable and #a is the least stable.

=====

#a
{"formula": "Tb4CeTm", "functional": "PBE-GGA", "state": "relaxed", "lattice": [[-1.5211, 5.7541, -2.9014], [-9.6378, 0.6062, 6.2549], [8.0743, -0.7032, 1.9275]], "species": ["Tb", "Tm", "Tb", "Tb", "Tb", "Tm", "Ce", "Tb", "Tb", "Ce", "Tb", "Tb"], "frac_coords": [[0.8349, 0.8386, 0.6699], [0.5000, 0.0000, 0.5000], [0.6703, 0.6694, 0.8388], [0.1685, 0.6694, 0.8388], [0.8349, 0.3313, 0.6699], [0.0000, 0.0000, 0.5000], [0.5000, 0.5000, 0.0000], [0.1651, 0.1614, 0.3301], [0.3297, 0.3306, 0.1612], [0.5000, 0.0000, 0.0000], [0.8315, 0.3306, 0.1612], [0.1651, 0.6687, 0.3301]], "spacegroup": "Imma, No. 74", "m_tot_mub_per_fu": 1.56}

=====

#b
{"formula": "Tb4CeTm", "functional": "PBE-GGA", "state": "relaxed", "lattice": [[-3.3302, 1.1847, 0.0177], [-1.6771, -4.7663, 3.4643], [1.6658, 4.4167, 17.8004]], "species": ["Tb", "Tb", "Ce", "Tb", "Tb", "Tb", "Tb", "Tm", "Tb", "Tm", "Ce", "Tb"], "frac_coords": [[0.0001, 0.4961, 0.8350], [0.5001, 0.0031, 0.8342], [0.5000, 0.0000, 0.5000], [0.5001, 0.5039, 0.6650], [0.4999, 0.9969, 0.1658], [0.9999, 0.0031, 0.3342], [0.4999, 0.4961, 0.3350], [0.0000, 0.5000, 0.5000], [0.0001, 0.9969, 0.6658], [0.5000, 0.5000, 0.0000], [0.0000, 0.0000, 0.0000], [0.9999, 0.5039, 0.1650]], "spacegroup": "C2/m, No. 12", "m_tot_mub_per_fu": 0.83}

=====

Stability ranking, top and bottom: #b is the most stable and #a is the least stable.